Entry 1:
# Tm3Hg5 | the Open Quantum Materials Database | PBE | relaxed
data_Tm3Hg5
_symmetry_space_group_name_H-M 'P 1'
_symmetry_Int_Tables_number 1
_cell_length_a 6.2774
_cell_length_b 6.2774
_cell_length_c 10.0344
_cell_angle_alpha 90.00
_cell_angle_beta 90.00
_cell_angle_gamma 75.21
loop_
_symmetry_equiv_pos_as_xyz
'x,y,z'
loop_
_atom_site_label
_atom_site_fract_x
_atom_site_fract_y
_atom_site_fract_z
_atom_site_occupancy
Hg1 0.9729 0.4696 0.2500 1
Hg2 0.2109 0.7891 0.9757 1
Hg3 0.7891 0.2109 0.0243 1
Hg4 0.7891 0.2109 0.4757 1
Hg5 0.2109 0.7891 0.5243 1
Hg6 0.4696 0.9729 0.7500 1
Hg7 0.5304 0.0271 0.2500 1
Hg8 0.4600 0.5400 0.2500 1
Hg9 0.0271 0.5304 0.7500 1
Hg10 0.5400 0.4600 0.7500 1
Tm1 0.2841 0.2841 0.0000 1
Tm2 0.7159 0.7159 0.0000 1
Tm3 0.2841 0.2841 0.5000 1
Tm4 0.7159 0.7159 0.5000 1
Tm5 0.9457 0.0543 0.7500 1
Tm6 0.0543 0.9457 0.2500 1
# - energy relative to the elements (eV per atom) = -0.42
# - crystal system = orthorhombic
# - M_tot (μB per formula unit) = 0.01
# - energy (Ry per atom) = -0.168

=====

Entry 2:
# Tm2Hg | the Open Quantum Materials Database | PBE | relaxed
data_Tm2Hg
_symmetry_space_group_name_H-M 'P 1'
_symmetry_Int_Tables_number 1
_cell_length_a 6.9050
_cell_length_b 5.0387
_cell_length_c 9.0770
_cell_angle_alpha 90.00
_cell_angle_beta 90.00
_cell_angle_gamma 90.00
loop_
_symmetry_equiv_pos_as_xyz
'x,y,z'
loop_
_atom_site_label
_atom_site_fract_x
_atom_site_fract_y
_atom_site_fract_z
_atom_site_occupancy
Tm1 0.4841 0.2500 0.3033 1
Tm2 0.5159 0.7500 0.6967 1
Tm3 0.9841 0.2500 0.1967 1
Tm4 0.1711 0.7500 0.4251 1
Tm5 0.8289 0.2500 0.5749 1
Tm6 0.0159 0.7500 0.8033 1
Tm7 0.6711 0.7500 0.0749 1
Tm8 0.3289 0.2500 0.9251 1
Hg1 0.7643 0.2500 0.8999 1
Hg2 0.7357 0.7500 0.3999 1
Hg3 0.2643 0.2500 0.6001 1
Hg4 0.2357 0.7500 0.1001 1
# - energy relative to the elements (eV per atom) = -0.36
# - crystal system = orthorhombic
# - M_tot (μB per formula unit) = 0.00
# - energy (Ry per atom) = -0.253